# 1
Density functional theory data (GGA-PBE) for a relaxed structure of ScMo2Os.

Computed properties:
Energy of formation, kJ per mole of atoms: 27.7
Calculated total energy, eV per atom: -9.519
Crystal system: trigonal
DOS(E_F), states/eV/f.u.: 3.95

Cell and atoms, written as CIF:
```
data_ScMo2Os
_chemical_formula_sum 'Sc3 Mo6 Os3'
_cell_length_a 2.8723
_cell_length_b 2.8723
_cell_length_c 27.9740
_cell_angle_alpha 90.00
_cell_angle_beta 90.00
_cell_angle_gamma 120.00
_symmetry_space_group_name_H-M 'R -3 m'
_symmetry_Int_Tables_number 166
_symmetry_space_group_name_Hall '-R 3 2"'
loop_
_atom_site_label
_atom_site_fract_x
_atom_site_fract_y
_atom_site_fract_z
Sc1 0.0000 0.0000 0.0000
Mo1 0.0000 0.0000 0.2447
Os1 0.0000 0.0000 0.5000
```


# 2
Density functional theory data (GGA-PBE) for a relaxed structure of CaMgTc2.

Computed properties:
Energy of formation, kJ per mole of atoms: 60.9
Calculated total energy, eV per atom: -5.451
Crystal system: trigonal
DOS(E_F), states/eV/f.u.: 3.42

Cell and atoms, written as CIF:
```
data_CaMgTc2
_chemical_formula_sum 'Ca3 Mg3 Tc6'
_cell_length_a 2.8963
_cell_length_b 2.8963
_cell_length_c 29.2735
_cell_angle_alpha 90.00
_cell_angle_beta 90.00
_cell_angle_gamma 120.00
_symmetry_space_group_name_H-M 'R -3 m'
_symmetry_Int_Tables_number 166
_symmetry_space_group_name_Hall '-R 3 2"'
loop_
_atom_site_label
_atom_site_fract_x
_atom_site_fract_y
_atom_site_fract_z
Ca1 0.0000 0.0000 0.0000
Mg1 0.0000 0.0000 0.5000
Tc1 0.0000 0.0000 0.2454
```


# 3
Density functional theory data (GGA-PBE) for a relaxed structure of Tb3Dy5In2.

Computed properties:
Energy of formation, kJ per mole of atoms: 9.1
Calculated total energy, eV per atom: -4.143
Crystal system: orthorhombic
DOS(E_F), states/eV/f.u.: 12.44

Cell and atoms, written as CIF:
```
data_Tb3Dy5In2
_chemical_formula_sum 'Tb12 Dy20 In8'
_cell_length_a 12.742
_cell_length_b 15.574
_cell_length_c 6.355
_cell_angle_alpha 90.00
_cell_angle_beta 90.00
_cell_angle_gamma 90.00
_symmetry_space_group_name_H-M 'I b a m'
_symmetry_Int_Tables_number 72
_symmetry_space_group_name_Hall '-I 2 2c'
loop_
_atom_site_label
_atom_site_fract_x
_atom_site_fract_y
_atom_site_fract_z
Tb1 0.000 0.000 0.250
Tb2 0.112 0.234 0.000
Dy1 0.000 0.500 0.250
Dy2 0.126 0.336 0.500
Dy3 0.249 0.500 0.250
In1 0.134 0.147 0.500
```


# 4
Density functional theory data (GGA-PBE) for a relaxed structure of Pm2HoGa.

Computed properties:
Energy of formation, kJ per mole of atoms: 2.4
Calculated total energy, eV per atom: -4.251
Crystal system: trigonal
DOS(E_F), states/eV/f.u.: 5.48

Cell and atoms, written as CIF:
```
data_Pm2HoGa
_chemical_formula_sum 'Pm6 Ho3 Ga3'
_cell_length_a 3.5452
_cell_length_b 3.5452
_cell_length_c 34.4190
_cell_angle_alpha 90.00
_cell_angle_beta 90.00
_cell_angle_gamma 120.00
_symmetry_space_group_name_H-M 'R -3 m'
_symmetry_Int_Tables_number 166
_symmetry_space_group_name_Hall '-R 3 2"'
loop_
_atom_site_label
_atom_site_fract_x
_atom_site_fract_y
_atom_site_fract_z
Pm1 0.0000 0.0000 0.1013
Ho1 0.0000 0.0000 0.0000
Ga1 0.0000 0.0000 0.5000
```


# 5
Density functional theory data (GGA-PBE) for a relaxed structure of Cs3Cd6Sb5.

Computed properties:
Calculated total energy, eV per atom: -2.308
Crystal system: orthorhombic
DOS(E_F), states/eV/f.u.: 2.32

Cell and atoms, written as CIF:
```
data_Cs3Cd6Sb5
_chemical_formula_sum 'Cs6 Cd12 Sb10'
_cell_length_a 4.905
_cell_length_b 15.168
_cell_length_c 12.779
_cell_angle_alpha 90.00
_cell_angle_beta 90.00
_cell_angle_gamma 90.00
_symmetry_space_group_name_H-M 'P m m n'
_symmetry_Int_Tables_number 59
loop_
_symmetry_equiv_pos_as_xyz
'x,y,z'
'-x,-y,-z'
'-x+1/2,-y+1/2,z'
'x+1/2,y+1/2,-z'
'x+1/2,-y,-z'
'-x+1/2,y,z'
'-x,y+1/2,-z'
'x,-y+1/2,z'
loop_
_atom_site_label
_atom_site_fract_x
_atom_site_fract_y
_atom_site_fract_z
Cs1 0.250 0.104 0.249
Cs2 0.250 0.750 0.253
Cd1 0.250 0.055 0.881
Cd2 0.250 0.250 0.524
Cd3 0.250 0.250 0.994
Cd4 0.250 0.579 0.488
Sb1 0.250 0.074 0.645
Sb2 0.250 0.613 0.001
Sb3 0.250 0.750 0.601
```


# 6
Density functional theory data (GGA-PBE) for a relaxed structure of NbCoW2.

Computed properties:
Energy of formation, kJ per mole of atoms: 27.4
Calculated total energy, eV per atom: -10.486
Crystal system: cubic
DOS(E_F), states/eV/f.u.: 9.54

Cell and atoms, written as CIF:
```
data_NbCoW2
_chemical_formula_sum 'Nb4 Co4 W8'
_cell_length_a 6.255
_cell_length_b 6.255
_cell_length_c 6.255
_cell_angle_alpha 90.00
_cell_angle_beta 90.00
_cell_angle_gamma 90.00
_symmetry_space_group_name_H-M 'F m -3 m'
_symmetry_Int_Tables_number 225
_symmetry_space_group_name_Hall '-F 4 2 3'
loop_
_atom_site_label
_atom_site_fract_x
_atom_site_fract_y
_atom_site_fract_z
Nb1 0.000 0.000 0.000
Co1 0.000 0.000 0.500
W1 0.250 0.250 0.250
```


# 7
Density functional theory data (GGA-PBE) for a relaxed structure of SrLi2AgO4.

Computed properties:
Calculated total energy, eV per atom: -4.796
Crystal system: monoclinic
DOS(E_F), states/eV/f.u.: 3.78

Cell and atoms, written as CIF:
```
data_SrLi2AgO4
_chemical_formula_sum 'Sr4 Li8 Ag4 O16'
_cell_length_a 10.254
_cell_length_b 8.059
_cell_length_c 6.875
_cell_angle_alpha 90.00
_cell_angle_beta 131.61
_cell_angle_gamma 90.00
_symmetry_space_group_name_H-M 'C 1 2/c 1'
_symmetry_Int_Tables_number 15
loop_
_symmetry_equiv_pos_as_xyz
'x,y,z'
'-x,-y,-z'
'-x,y,-z+1/2'
'x,-y,z+1/2'
'x+1/2,y+1/2,z'
'-x+1/2,-y+1/2,-z'
'-x+1/2,y+1/2,-z+1/2'
'x+1/2,-y+1/2,z+1/2'
loop_
_atom_site_label
_atom_site_fract_x
_atom_site_fract_y
_atom_site_fract_z
Sr1 0.250 0.250 0.000
Li1 0.000 0.000 0.000
Li2 0.250 0.250 0.500
Ag1 0.000 0.500 0.000
O1 0.002 0.249 0.993
O2 0.249 0.469 0.647
```


# 8
Density functional theory data (GGA-PBE) for a relaxed structure of KPt2Br.

Computed properties:
Calculated total energy, eV per atom: -3.448
Crystal system: tetragonal
DOS(E_F), states/eV/f.u.: 6.42

Cell and atoms, written as CIF:
```
data_KPt2Br
_chemical_formula_sum 'K2 Pt4 Br2'
_cell_length_a 3.963
_cell_length_b 3.963
_cell_length_c 11.567
_cell_angle_alpha 90.00
_cell_angle_beta 90.00
_cell_angle_gamma 90.00
_symmetry_space_group_name_H-M 'I 4/m m m'
_symmetry_Int_Tables_number 139
_symmetry_space_group_name_Hall '-I 4 2'
loop_
_atom_site_label
_atom_site_fract_x
_atom_site_fract_y
_atom_site_fract_z
K1 0.000 0.000 0.000
Pt1 0.000 0.500 0.250
Br1 0.000 0.000 0.500
```


- Among the records above, which one has the lowest DOS(E_F)?
  Cs3Cd6Sb5


- DOS(E_F) of number 7 (SrLi2AgO4)?
  3.78 states/eV/f.u.


- Which formula does entry 3 have?
  Tb3Dy5In2